Record 1
DFT (SCAN) results for a PBEsol-optimized structure of BaNa2Au2.

Calculated values
E_form	-0.590	eV/atom
Fermi-level density of states	2.675	states/eV/f.u.
magnetization	0.00	μB/f.u.

Cell lengths 7.6122, 7.6122, 7.6122 Å; angles 146.10, 146.10, 48.69 degrees
Fractional coordinates of all 5 atoms:
Ba (0.0000, 0.0000, 0.0000)
Na (0.2500, 0.7500, 0.5000)
Na (0.7500, 0.2500, 0.5000)
Au (0.4007, 0.4007, 0.0000)
Au (0.5993, 0.5993, 0.0000)

---

Record 2
DFT (SCAN) results for a PBEsol-optimized structure of Ba2NaAu2.

Calculated values
E_form	-0.712	eV/atom
Fermi-level density of states	2.686	states/eV/f.u.
magnetization	0.00	μB/f.u.

Cell lengths 8.5448, 8.5448, 4.4136 Å; angles 90.00, 90.00, 90.00 degrees
Fractional coordinates of all 10 atoms:
Ba (0.1692, 0.3308, 0.0000)
Ba (0.3308, 0.8308, 0.0000)
Ba (0.6692, 0.1692, 0.0000)
Ba (0.8308, 0.6692, 0.0000)
Na (0.0000, 0.0000, 0.5000)
Na (0.5000, 0.5000, 0.5000)
Au (0.1235, 0.6235, 0.5000)
Au (0.3765, 0.1235, 0.5000)
Au (0.6235, 0.8765, 0.5000)
Au (0.8765, 0.3765, 0.5000)

---

Record 3
DFT (SCAN) results for a PBEsol-optimized structure of BaNb2AuS.

Calculated values
raw formation energy	0.55	eV per formula unit
Fermi-level density of states	2.488	states/eV/f.u.
magnetization	1.83	μB/f.u.

Cell lengths 4.6042, 4.6042, 5.7582 Å; angles 90.00, 90.00, 90.00 degrees
Fractional coordinates of all 5 atoms:
Ba (0.0000, 0.0000, 0.0000)
Nb (0.0000, 0.5000, 0.5000)
Nb (0.5000, 0.0000, 0.5000)
Au (0.5000, 0.5000, 0.0000)
S (0.0000, 0.0000, 0.5000)